PBE-GGA BeHgI2O, optimized geometry; symmetry = P4/mmm; excess energy over the best structure of this formula in the dataset = 1499 meV/atom
1.0
-1.651 -2.509 5.139
-3.473 -3.810 -2.976
3.107 -2.615 -0.278
I Be Hg O
2 1 1 1
Direct
0.000 0.500 0.000
0.500 0.000 0.000
0.500 0.500 0.500
0.000 0.000 0.000
0.000 0.000 0.500